Record 1
A relaxed structure of NaTlZnGa, computed with PBE.

Results
E ... -1.9510 eV/atom
Crystal system ... cubic

Lattice parameters (Å, degrees): 5.0165 5.0165 5.0165 60.00 60.00 60.00
Fractional positions:
Na  0.0000  0.0000  0.0000
Tl  0.2500  0.2500  0.2500
Zn  0.5000  0.5000  0.5000
Ga  0.7500  0.7500  0.7500


Record 2
A relaxed structure of Li4Y3HfS8, computed with PBE.

Results
Energy relative to the elements, uncorrected ... -1744 meV per atom
Crystal system ... trigonal

Lattice parameters (Å, degrees): 7.6012 7.6012 7.6012 60.49 60.49 60.49
Fractional positions:
Li  0.0000  0.0000  0.0000
Li  0.0000  0.5000  0.5000
Li  0.5000  0.0000  0.5000
Li  0.5000  0.5000  0.0000
Y  0.0000  0.0000  0.5000
Y  0.0000  0.5000  0.0000
Y  0.5000  0.0000  0.0000
Hf  0.5000  0.5000  0.5000
S  0.2522  0.2522  0.2522
S  0.2586  0.2586  0.7343
S  0.2586  0.7343  0.2586
S  0.2657  0.7414  0.7414
S  0.7343  0.2586  0.2586
S  0.7414  0.2657  0.7414
S  0.7414  0.7414  0.2657
S  0.7478  0.7478  0.7478


Record 3
A relaxed structure of GeRh2Au, computed with PBE.

Results
E ... -5.8176 eV/atom
Crystal system ... trigonal

Lattice parameters (Å, degrees): 8.6069 8.6069 8.6069 19.51 19.51 19.51
Fractional positions:
Ge  0.0000  0.0000  0.0000
Rh  0.2604  0.2604  0.2604
Rh  0.7396  0.7396  0.7396
Au  0.5000  0.5000  0.5000


Record 4
A relaxed structure of Li2TbCe, computed with PBE.

Results
Distance to the lowest polymorph of the same formula ... 0 meV per atom
Crystal system ... tetragonal

Lattice parameters (Å, degrees): 3.6692 3.6692 7.5856 90.00 90.00 90.00
Fractional positions:
Li  0.0000  0.0000  0.2498
Li  0.0000  0.0000  0.7502
Tb  0.5000  0.5000  0.0000
Ce  0.5000  0.5000  0.5000


Record 5
A relaxed structure of CaLaPb2, computed with PBE.

Results
E ... -4.1410 eV/atom
Crystal system ... tetragonal

Lattice parameters (Å, degrees): 5.2350 5.2350 4.5660 90.00 90.00 90.00
Fractional positions:
Ca  0.0000  0.0000  0.0000
La  0.5000  0.5000  0.0000
Pb  0.0000  0.5000  0.5000
Pb  0.5000  0.0000  0.5000


Record 6
A relaxed structure of Cs2ZnNiCl6, computed with PBE.

Results
Energy relative to the elements, uncorrected ... -1295 meV per atom
Crystal system ... trigonal

Lattice parameters (Å, degrees): 12.5067 12.5067 12.5067 33.61 33.61 33.61
Fractional positions:
Cs  0.1252  0.1252  0.1252
Cs  0.2910  0.2910  0.2910
Cs  0.7090  0.7090  0.7090
Cs  0.8748  0.8748  0.8748
Zn  0.4117  0.4117  0.4117
Zn  0.5883  0.5883  0.5883
Ni  0.0000  0.0000  0.0000
Ni  0.5000  0.5000  0.5000
Cl  0.1557  0.6089  0.6089
Cl  0.2031  0.2031  0.7145
Cl  0.2031  0.7145  0.2031
Cl  0.2855  0.7969  0.7969
Cl  0.3911  0.3911  0.8443
Cl  0.3911  0.8443  0.3911
Cl  0.6089  0.1557  0.6089
Cl  0.6089  0.6089  0.1557
Cl  0.7145  0.2031  0.2031
Cl  0.7969  0.2855  0.7969
Cl  0.7969  0.7969  0.2855
Cl  0.8443  0.3911  0.3911


| no. | magnetic moment (μB/cell) |
| --- | --- |
| 1 | 0.0 |
| 2 | 0.0 |
| 3 | 0.0 |
| 4 | 1.0 |
| 5 | 0.0 |
| 6 | 3.9 |